# 1
# PBE-GGA ScSn2, optimized geometry
# **Space group**: P2/m
data_ScSn2
_chemical_formula_sum 'Sc2 Sn4'
_cell_length_a 4.3320
_cell_length_b 4.2830
_cell_length_c 8.0356
_cell_angle_alpha 90.00
_cell_angle_beta 105.46
_cell_angle_gamma 90.00
_symmetry_space_group_name_H-M 'P 1'
_symmetry_Int_Tables_number 1
loop_
_symmetry_equiv_pos_as_xyz
'x,y,z'
loop_
_atom_site_label
_atom_site_fract_x
_atom_site_fract_y
_atom_site_fract_z
Sc1 0.1467 0.0000 0.2935
Sc2 0.8533 0.0000 0.7065
Sn1 0.0000 0.5000 0.0000
Sn2 0.3166 0.5000 0.6341
Sn3 0.5000 0.0000 0.0000
Sn4 0.6834 0.5000 0.3659

---

# 2
# PBE-GGA Sc3Sn, optimized geometry
# **Space group**: Imm2
data_Sc3Sn
_chemical_formula_sum 'Sc3 Sn1'
_cell_length_a 6.0599
_cell_length_b 6.0599
_cell_length_c 6.0599
_cell_angle_alpha 148.21
_cell_angle_beta 63.57
_cell_angle_gamma 126.53
_symmetry_space_group_name_H-M 'P 1'
_symmetry_Int_Tables_number 1
loop_
_symmetry_equiv_pos_as_xyz
'x,y,z'
loop_
_atom_site_label
_atom_site_fract_x
_atom_site_fract_y
_atom_site_fract_z
Sc1 0.0000 0.0000 0.0000
Sc2 0.1181 0.3550 0.7631
Sc3 0.5918 0.3550 0.2369
Sn1 0.5213 0.0213 0.5000

---

# 3
# PBE-GGA ScSn, optimized geometry
# **Space group**: P4_2/mmc
data_ScSn
_chemical_formula_sum 'Sc4 Sn4'
_cell_length_a 4.2407
_cell_length_b 4.2407
_cell_length_c 10.2300
_cell_angle_alpha 90.00
_cell_angle_beta 90.00
_cell_angle_gamma 90.00
_symmetry_space_group_name_H-M 'P 1'
_symmetry_Int_Tables_number 1
loop_
_symmetry_equiv_pos_as_xyz
'x,y,z'
loop_
_atom_site_label
_atom_site_fract_x
_atom_site_fract_y
_atom_site_fract_z
Sc1 0.0000 0.0000 0.2500
Sc2 0.0000 0.0000 0.7500
Sc3 0.0000 0.5000 0.0000
Sc4 0.5000 0.0000 0.5000
Sn1 0.0000 0.5000 0.5000
Sn2 0.5000 0.0000 0.0000
Sn3 0.5000 0.5000 0.2500
Sn4 0.5000 0.5000 0.7500

---

# 4
# PBE-GGA ScSn, optimized geometry
# **Space group**: Fddd
data_ScSn
_chemical_formula_sum 'Sc4 Sn4'
_cell_length_a 7.6811
_cell_length_b 6.8892
_cell_length_c 5.9522
_cell_angle_alpha 73.06
_cell_angle_beta 59.09
_cell_angle_gamma 47.84
_symmetry_space_group_name_H-M 'P 1'
_symmetry_Int_Tables_number 1
loop_
_symmetry_equiv_pos_as_xyz
'x,y,z'
loop_
_atom_site_label
_atom_site_fract_x
_atom_site_fract_y
_atom_site_fract_z
Sc1 0.1063 0.6437 0.1063
Sc2 0.3563 0.8937 0.3563
Sc3 0.6437 0.1063 0.6437
Sc4 0.8937 0.3563 0.8937
Sn1 0.1566 0.5934 0.5934
Sn2 0.4066 0.8434 0.8434
Sn3 0.5934 0.1566 0.1566
Sn4 0.8434 0.4066 0.4066

---

# 5
# PBE-GGA Sc3Sn, optimized geometry
# **Space group**: Pm-3m
data_Sc3Sn
_chemical_formula_sum 'Sc3 Sn1'
_cell_length_a 4.5090
_cell_length_b 4.5090
_cell_length_c 4.5090
_cell_angle_alpha 90.00
_cell_angle_beta 90.00
_cell_angle_gamma 90.00
_symmetry_space_group_name_H-M 'P 1'
_symmetry_Int_Tables_number 1
loop_
_symmetry_equiv_pos_as_xyz
'x,y,z'
loop_
_atom_site_label
_atom_site_fract_x
_atom_site_fract_y
_atom_site_fract_z
Sc1 0.0000 0.0000 0.5000
Sc2 0.0000 0.5000 0.0000
Sc3 0.5000 0.0000 0.0000
Sn1 0.5000 0.5000 0.5000

---

# 6
# PBE-GGA ScSn, optimized geometry
# **Space group**: Pm-3n
data_ScSn
_chemical_formula_sum 'Sc6 Sn6'
_cell_length_a 8.0956
_cell_length_b 8.0956
_cell_length_c 8.0956
_cell_angle_alpha 90.00
_cell_angle_beta 90.00
_cell_angle_gamma 90.00
_symmetry_space_group_name_H-M 'P 1'
_symmetry_Int_Tables_number 1
loop_
_symmetry_equiv_pos_as_xyz
'x,y,z'
loop_
_atom_site_label
_atom_site_fract_x
_atom_site_fract_y
_atom_site_fract_z
Sc1 0.0000 0.2500 0.5000
Sc2 0.0000 0.7500 0.5000
Sc3 0.2500 0.5000 0.0000
Sc4 0.5000 0.0000 0.2500
Sc5 0.5000 0.0000 0.7500
Sc6 0.7500 0.5000 0.0000
Sn1 0.0000 0.5000 0.2500
Sn2 0.0000 0.5000 0.7500
Sn3 0.2500 0.0000 0.5000
Sn4 0.5000 0.2500 0.0000
Sn5 0.5000 0.7500 0.0000
Sn6 0.7500 0.0000 0.5000

---

# 7
# PBE-GGA ScSn2, optimized geometry
# **Space group**: C2/m
data_ScSn2
_chemical_formula_sum 'Sc2 Sn4'
_cell_length_a 6.5969
_cell_length_b 6.5969
_cell_length_c 4.2875
_cell_angle_alpha 108.63
_cell_angle_beta 108.63
_cell_angle_gamma 61.52
_symmetry_space_group_name_H-M 'P 1'
_symmetry_Int_Tables_number 1
loop_
_symmetry_equiv_pos_as_xyz
'x,y,z'
loop_
_atom_site_label
_atom_site_fract_x
_atom_site_fract_y
_atom_site_fract_z
Sc1 0.1971 0.1971 0.4466
Sc2 0.8029 0.8029 0.5534
Sn1 0.1738 0.6109 0.1431
Sn2 0.3891 0.8262 0.8569
Sn3 0.6109 0.1738 0.1431
Sn4 0.8262 0.3891 0.8569

---

# 8
# PBE-GGA Sc3Sn, optimized geometry
# **Space group**: Pmm2
data_Sc3Sn
_chemical_formula_sum 'Sc3 Sn1'
_cell_length_a 3.3008
_cell_length_b 5.0845
_cell_length_c 5.5445
_cell_angle_alpha 90.00
_cell_angle_beta 90.00
_cell_angle_gamma 90.00
_symmetry_space_group_name_H-M 'P 1'
_symmetry_Int_Tables_number 1
loop_
_symmetry_equiv_pos_as_xyz
'x,y,z'
loop_
_atom_site_label
_atom_site_fract_x
_atom_site_fract_y
_atom_site_fract_z
Sc1 0.0000 0.0000 0.0000
Sc2 0.0000 0.5000 0.3470
Sc3 0.5000 0.0000 0.5057
Sn1 0.5000 0.5000 0.8370

---

# 9
# PBE-GGA ScSn, optimized geometry
# **Space group**: P6_3/m
data_ScSn
_chemical_formula_sum 'Sc6 Sn6'
_cell_length_a 8.0487
_cell_length_b 8.0487
_cell_length_c 5.6306
_cell_angle_alpha 90.00
_cell_angle_beta 90.00
_cell_angle_gamma 120.00
_symmetry_space_group_name_H-M 'P 1'
_symmetry_Int_Tables_number 1
loop_
_symmetry_equiv_pos_as_xyz
'x,y,z'
loop_
_atom_site_label
_atom_site_fract_x
_atom_site_fract_y
_atom_site_fract_z
Sc1 0.0472 0.7964 0.2500
Sc2 0.2036 0.2508 0.2500
Sc3 0.2508 0.0472 0.7500
Sc4 0.7492 0.9528 0.2500
Sc5 0.7964 0.7492 0.7500
Sc6 0.9528 0.2036 0.7500
Sn1 0.0923 0.6240 0.7500
Sn2 0.3760 0.4682 0.7500
Sn3 0.4682 0.0923 0.2500
Sn4 0.5317 0.9077 0.7500
Sn5 0.6240 0.5317 0.2500
Sn6 0.9077 0.3760 0.2500

---

# 10
# PBE-GGA Sc4Sn3, optimized geometry
# **Offset from the most stable computed form**: 1.699 eV/f.u.
# **Space group**: I4/mmm
data_Sc4Sn3
_chemical_formula_sum 'Sc4 Sn3'
_cell_length_a 10.9849
_cell_length_b 10.9849
_cell_length_c 10.9849
_cell_angle_alpha 159.35
_cell_angle_beta 159.35
_cell_angle_gamma 29.37
_symmetry_space_group_name_H-M 'P 1'
_symmetry_Int_Tables_number 1
loop_
_symmetry_equiv_pos_as_xyz
'x,y,z'
loop_
_atom_site_label
_atom_site_fract_x
_atom_site_fract_y
_atom_site_fract_z
Sc1 0.0722 0.0722 0.0000
Sc2 0.3525 0.3525 0.0000
Sc3 0.6475 0.6475 0.0000
Sc4 0.9278 0.9278 0.0000
Sn1 0.2090 0.2090 0.0000
Sn2 0.5000 0.5000 0.0000
Sn3 0.7910 0.7910 0.0000

---

# 11
# PBE-GGA ScSn2, optimized geometry
# **Space group**: I4/mmm
data_ScSn2
_chemical_formula_sum 'Sc1 Sn2'
_cell_length_a 5.7839
_cell_length_b 5.7839
_cell_length_c 5.7839
_cell_angle_alpha 142.23
_cell_angle_beta 142.23
_cell_angle_gamma 54.48
_symmetry_space_group_name_H-M 'P 1'
_symmetry_Int_Tables_number 1
loop_
_symmetry_equiv_pos_as_xyz
'x,y,z'
loop_
_atom_site_label
_atom_site_fract_x
_atom_site_fract_y
_atom_site_fract_z
Sc1 0.0000 0.0000 0.0000
Sn1 0.3379 0.3379 0.0000
Sn2 0.6621 0.6621 0.0000

---

# 12
# PBE-GGA ScSn4, optimized geometry
# **Space group**: Pm-3m
data_ScSn4
_chemical_formula_sum 'Sc1 Sn4'
_cell_length_a 5.4841
_cell_length_b 5.4841
_cell_length_c 5.4841
_cell_angle_alpha 90.00
_cell_angle_beta 90.00
_cell_angle_gamma 90.00
_symmetry_space_group_name_H-M 'P 1'
_symmetry_Int_Tables_number 1
loop_
_symmetry_equiv_pos_as_xyz
'x,y,z'
loop_
_atom_site_label
_atom_site_fract_x
_atom_site_fract_y
_atom_site_fract_z
Sc1 0.0000 0.0000 0.0000
Sn1 0.0000 0.0000 0.5000
Sn2 0.0000 0.5000 0.0000
Sn3 0.5000 0.0000 0.0000
Sn4 0.5000 0.5000 0.5000

---

D(E_F) across the listed records, respectively: 3.0, 4.5, 4.0, 6.6, 4.0, 19.4, 2.1, 5.3, 10.9, 9.3, 2.8, 2.0 states/eV/cell.
Formation energy across the listed records, respectively: -0.433, -0.351, -0.576, -0.466, -0.436, 0.404, -0.294, -0.315, -0.277, -0.404, -0.320, 0.322 eV per atom.
Calculated volume across the listed records, respectively: 23.95, 23.31, 23.00, 24.95, 22.92, 44.21, 25.38, 23.26, 26.32, 23.54, 24.03, 32.99 A^3/atom.